Entry 1:
Here is a relaxed Gd2TeRh crystal from Alexandria. Energies are from PBE.

Structure (POSCAR):
```
Gd2TeRh
1.0
-2.8170 1.3662 1.8651
0.8468 -2.1259 2.8362
4.3327 5.2883 2.6702
Rh Gd Te
1 2 1
direct
0.5000 0.5000 0.0000 Rh
0.0000 0.0000 0.7753 Gd
0.0000 0.0000 0.2247 Gd
0.5000 0.5000 0.5000 Te
```

Properties
- Space group: P4/mmm, No. 123
- Magnetic moment: 14.20 μB per formula unit
- Formation energy (no corrections): -0.94 eV per atom
- E_tot: -10.608 eV/atom



Entry 2:
Here is a relaxed MgOsRh4 crystal from Alexandria. Energies are from PBE.

Structure (POSCAR):
```
MgOsRh4
1.0
0.6972 -4.6341 -1.9916
1.6592 -3.8116 2.9405
-3.1431 -3.8067 1.2479
Mg Os Rh
1 1 4
direct
0.2500 0.2500 0.2500 Mg
0.0000 0.0000 0.0000 Os
0.6250 0.6250 0.1251 Rh
0.6250 0.1251 0.6250 Rh
0.6250 0.6250 0.6250 Rh
0.1251 0.6250 0.6250 Rh
```

Properties
- Space group: F-43m, No. 216
- Magnetic moment: 2.09 μB per formula unit
- E_tot: -6.728 eV/atom



Entry 3:
Here is a relaxed Cs2Ge3Au2 crystal from Alexandria. Energies are from PBE.

Structure (POSCAR):
```
Cs2Ge3Au2
1.0
4.5464 0.0000 0.0000
-2.2732 7.0706 1.1373
0.0000 -2.5762 7.1054
Cs Ge Au
2 3 2
direct
0.8372 0.6745 0.2773 Cs
0.1628 0.3255 0.7227 Cs
0.5000 0.0000 0.0000 Ge
0.5745 0.1491 0.3242 Ge
0.4255 0.8509 0.6758 Ge
0.9091 0.8182 0.8215 Au
0.0909 0.1818 0.1785 Au
```

Properties
- Space group: C2/m, No. 12
- Magnetic moment: 0.00 μB per formula unit
- E_tot: -3.307 eV/atom



Entry 4:
Here is a relaxed PaTcNiSb crystal from Alexandria. Energies are from PBE.

Structure (POSCAR):
```
PaTcNiSb
1.0
-3.2476 -3.1962 -1.2167
1.2288 -3.7388 -2.5990
0.0782 -4.2978 1.9405
Sb Pa Tc Ni
1 1 1 1
direct
0.5000 0.5000 0.5000 Sb
0.0000 0.0000 0.0000 Pa
0.2500 0.2500 0.2500 Tc
0.7500 0.7500 0.7500 Ni
```

Properties
- Space group: F-43m, No. 216
- Magnetic moment: 0.00 μB per formula unit
- Formation energy (no corrections): -0.13 eV per atom
- E_tot: -7.569 eV/atom



Entry 5:
Here is a relaxed TlCuSb2 crystal from Alexandria. Energies are from PBE.

Structure (POSCAR):
```
TlCuSb2
1.0
-4.9917 -1.4786 -3.4650
0.5841 -1.7870 -5.9645
2.4447 -1.2819 5.6116
Cu Sb Tl
1 2 1
direct
0.7500 0.2500 0.5000 Cu
0.0000 0.0000 0.0000 Sb
0.5000 0.5000 0.0000 Sb
0.2500 0.7500 0.5000 Tl
```

Properties
- Space group: I4/mmm, No. 139
- Magnetic moment: 0.00 μB per formula unit
- Formation energy (no corrections): 0.36 eV per atom
- E_tot: -3.320 eV/atom



Entry 6:
Here is a relaxed Sm2Tm2Sc crystal from Alexandria. Energies are from PBE.

Structure (POSCAR):
```
Sm2Tm2Sc
1.0
5.5052 0.0000 0.0000
0.0000 6.3846 -0.3950
0.0000 0.5659 9.0354
Sm Tm Sc
4 4 2
direct
0.5000 0.2453 0.1047 Sm
0.5000 0.7461 0.3988 Sm
0.5000 0.2538 0.6016 Sm
0.5000 0.7547 0.8949 Sm
0.0000 0.0739 0.3337 Tm
0.0000 0.5745 0.1662 Tm
0.0000 0.9262 0.6661 Tm
0.0000 0.4256 0.8340 Tm
0.0000 0.4999 0.5001 Sc
0.0000 0.9999 0.0000 Sc
```

Properties
- Space group: P2/m, No. 10
- Magnetic moment: 0.00 μB per formula unit
- E_tot: -4.717 eV/atom



Entry 7:
Here is a relaxed LaCeNdGa crystal from Alexandria. Energies are from PBE.

Structure (POSCAR):
```
LaCeNdGa
1.0
5.4006 0.0000 0.0000
2.7003 4.6770 0.0000
2.7003 1.5590 4.4095
Nd Ga Ce La
1 1 1 1
direct
0.0000 0.0000 0.0000 Nd
0.2500 0.2500 0.2500 Ga
0.7500 0.7500 0.7500 Ce
0.5000 0.5000 0.5000 La
```

Properties
- Space group: F-43m, No. 216
- Magnetic moment: 0.00 μB per formula unit
- E_tot: -4.722 eV/atom



Entry 8:
Here is a relaxed Li2VCd2 crystal from Alexandria. Energies are from PBE.

Structure (POSCAR):
```
Li2VCd2
1.0
3.7032 0.0000 0.0000
0.0000 3.7032 0.0000
1.8516 1.8516 6.9830
Cd Li V
2 2 1
direct
0.3987 0.3987 0.2026 Cd
0.6013 0.6013 0.7974 Cd
0.7500 0.2500 0.5000 Li
0.2500 0.7500 0.5000 Li
0.0000 0.0000 0.0000 V
```

Properties
- Space group: I4/mmm, No. 139
- Magnetic moment: 3.03 μB per formula unit
- E_tot: -2.673 eV/atom



Q: Look up the E_tot of the fifth one.
A: -3.320 eV/atom



Q: Which value of magnetic moment does entry 2 give?
A: 2.09 μB per formula unit



Q: Among the records above, which one has the lowest E_tot?
A: Gd2TeRh



What did the seventh record say?
Here is a relaxed LaCeNdGa crystal from Alexandria. Energies are from PBE.

Structure (POSCAR):
```
LaCeNdGa
1.0
5.4006 0.0000 0.0000
2.7003 4.6770 0.0000
2.7003 1.5590 4.4095
Nd Ga Ce La
1 1 1 1
direct
0.0000 0.0000 0.0000 Nd
0.2500 0.2500 0.2500 Ga
0.7500 0.7500 0.7500 Ce
0.5000 0.5000 0.5000 La
```

Properties
- Space group: F-43m, No. 216
- Magnetic moment: 0.00 μB per formula unit
- E_tot: -4.722 eV/atom